Entry 1:
Below is TiPCl2 after structural relaxation, with properties calculated at the GGA-PBE level.

## Properties
N(E_F) ... 0.5724 states/eV/atom
DFT total energy ... -4.747 eV/atom
Energy relative to the elements, uncorrected ... -0.50 eV per atom

a b c (Å): 11.373 11.373 11.373
angles (deg): 15.52 15.52 15.52
Fractional positions:
P (0.000, 0.000, 0.000)
Cl (0.883, 0.883, 0.883)
Cl (0.117, 0.117, 0.117)
Ti (0.500, 0.500, 0.500)

Entry 2:
Below is TiPCl after structural relaxation, with properties calculated at the GGA-PBE level.

## Properties
N(E_F) ... 0.8114 states/eV/atom
DFT total energy ... -5.320 eV/atom
Energy relative to the elements, uncorrected ... -0.27 eV per atom

a b c (Å): 5.043 3.567 10.010
angles (deg): 100.49 90.00 134.97
Fractional positions:
Ti (0.349, 0.697, 0.169)
Ti (0.651, 0.303, 0.831)
P (0.467, 0.935, 0.397)
P (0.533, 0.065, 0.603)
Cl (0.183, 0.366, 0.885)
Cl (0.817, 0.634, 0.115)

Entry 3:
Below is TiTlPCl2 after structural relaxation, with properties calculated at the GGA-PBE level.

## Properties
N(E_F) ... 2.1521 states/eV/atom
DFT total energy ... -3.261 eV/atom
Energy relative to the elements, uncorrected ... 0.61 eV per atom

a b c (Å): 5.208 5.208 5.259
angles (deg): 90.00 90.00 90.00
Last column: magnetic moment on the atom in μB.
Fractional positions:
P (0.000, 0.000, 0.500)  0.13
Tl (0.000, 0.000, 0.000)  0.00
Cl (0.000, 0.500, 0.000)  0.01
Cl (0.500, 0.000, 0.000)  0.01
Ti (0.500, 0.500, 0.500)  -0.34

Entry 4:
Below is TiTlP2Cl after structural relaxation, with properties calculated at the GGA-PBE level.

## Properties
N(E_F) ... 1.4477 states/eV/atom
DFT total energy ... -3.520 eV/atom
Energy relative to the elements, uncorrected ... 1.07 eV per atom

a b c (Å): 5.039 5.039 5.182
angles (deg): 90.00 90.00 90.00
Last column: magnetic moment on the atom in μB.
Fractional positions:
P (0.000, 0.500, 0.000)  0.01
P (0.500, 0.000, 0.000)  0.01
Tl (0.000, 0.000, 0.000)  0.00
Cl (0.000, 0.000, 0.500)  0.00
Ti (0.500, 0.500, 0.500)  0.06

Entry 5:
Below is TiTlP2Cl after structural relaxation, with properties calculated at the GGA-PBE level.

## Properties
N(E_F) ... 0.5300 states/eV/atom
DFT total energy ... -4.895 eV/atom
Energy relative to the elements, uncorrected ... -0.31 eV per atom

a b c (Å): 4.723 4.723 5.298
angles (deg): 90.00 90.00 90.00
Fractional positions:
P (0.000, 0.500, 0.000)
P (0.500, 0.000, 0.000)
Tl (0.500, 0.500, 0.500)
Cl (0.000, 0.000, 0.500)
Ti (0.000, 0.000, 0.000)

Entry 6:
Below is TiTlPCl2 after structural relaxation, with properties calculated at the GGA-PBE level.

## Properties
N(E_F) ... 0.5728 states/eV/atom
DFT total energy ... -4.600 eV/atom
Energy relative to the elements, uncorrected ... -0.73 eV per atom

a b c (Å): 4.938 4.938 4.866
angles (deg): 90.00 90.00 90.00
Fractional positions:
P (0.000, 0.000, 0.500)
Tl (0.500, 0.500, 0.500)
Cl (0.000, 0.500, 0.000)
Cl (0.500, 0.000, 0.000)
Ti (0.000, 0.000, 0.000)

Entry 7:
Below is TiVP2Cl after structural relaxation, with properties calculated at the GGA-PBE level.

## Properties
N(E_F) ... 1.0237 states/eV/atom
DFT total energy ... -5.531 eV/atom
Energy relative to the elements, uncorrected ... 0.40 eV per atom

a b c (Å): 4.754 4.754 4.554
angles (deg): 90.00 90.00 90.00
Last column: magnetic moment on the atom in μB.
Fractional positions:
Cl (0.000, 0.000, 0.500)  -0.02
Ti (0.000, 0.000, 0.000)  0.07
P (0.000, 0.500, 0.000)  -0.01
P (0.500, 0.000, 0.000)  -0.01
V (0.500, 0.500, 0.500)  -0.26

Entry 8:
Below is TiVP2Cl after structural relaxation, with properties calculated at the GGA-PBE level.

## Properties
N(E_F) ... 1.1611 states/eV/atom
DFT total energy ... -5.768 eV/atom
Energy relative to the elements, uncorrected ... 0.17 eV per atom

a b c (Å): 4.542 4.542 4.723
angles (deg): 90.00 90.00 90.00
Last column: magnetic moment on the atom in μB.
Fractional positions:
Cl (0.000, 0.000, 0.500)  -0.01
Ti (0.500, 0.500, 0.500)  1.66
P (0.000, 0.500, 0.000)  -0.11
P (0.500, 0.000, 0.000)  -0.11
V (0.000, 0.000, 0.000)  0.92